1.
# YAsSe2O, relaxed, DFT PBE
# D(E_F), states/eV per cell: 9.54
# E above lowest polymorph, meV/atom: 1111
data_YAsSe2O
_cell_length_a 5.4021
_cell_length_b 5.4021
_cell_length_c 5.6579
_cell_angle_alpha 90.00
_cell_angle_beta 90.00
_cell_angle_gamma 90.00
_symmetry_space_group_name_H-M 'P 1'
_symmetry_Int_Tables_number 1
_symmetry_space_group_name_Hall 'P 1'
loop_
_atom_site_label
_atom_site_type_symbol
_atom_site_fract_x
_atom_site_fract_y
_atom_site_fract_z
Y1 Y 0.0000 0.0000 0.0000
As1 As 0.0000 0.0000 0.5000
O1 O 0.5000 0.5000 0.5000
Se1 Se 0.0000 0.5000 0.0000
Se2 Se 0.5000 0.0000 0.0000

---

2.
# YAsSe2O, relaxed, DFT PBE
# D(E_F), states/eV per cell: 1.86
# E above lowest polymorph, meV/atom: 0
data_YAsSe2O
_cell_length_a 4.6153
_cell_length_b 4.6153
_cell_length_c 4.3952
_cell_angle_alpha 90.00
_cell_angle_beta 90.00
_cell_angle_gamma 90.00
_symmetry_space_group_name_H-M 'P 1'
_symmetry_Int_Tables_number 1
_symmetry_space_group_name_Hall 'P 1'
loop_
_atom_site_label
_atom_site_type_symbol
_atom_site_fract_x
_atom_site_fract_y
_atom_site_fract_z
Y1 Y 0.5000 0.5000 0.5000
As1 As 0.0000 0.0000 0.5000
O1 O 0.0000 0.0000 0.0000
Se1 Se 0.0000 0.5000 0.0000
Se2 Se 0.5000 0.0000 0.0000

---

3.
# YAs2SeO, relaxed, DFT PBE
# D(E_F), states/eV per cell: 13.28
# E above lowest polymorph, meV/atom: 1377
data_YAs2SeO
_cell_length_a 5.4959
_cell_length_b 5.4959
_cell_length_c 5.2899
_cell_angle_alpha 90.00
_cell_angle_beta 90.00
_cell_angle_gamma 90.00
_symmetry_space_group_name_H-M 'P 1'
_symmetry_Int_Tables_number 1
_symmetry_space_group_name_Hall 'P 1'
loop_
_atom_site_label
_atom_site_type_symbol
_atom_site_fract_x
_atom_site_fract_y
_atom_site_fract_z
Y1 Y 0.0000 0.0000 0.0000
As1 As 0.0000 0.5000 0.0000
As2 As 0.5000 0.0000 0.0000
O1 O 0.5000 0.5000 0.5000
Se1 Se 0.0000 0.0000 0.5000

---

4.
# ZnAsSe2O, relaxed, DFT PBE
# D(E_F), states/eV per cell: 9.62
# E above lowest polymorph, meV/atom: 643
data_ZnAsSe2O
_cell_length_a 4.7751
_cell_length_b 4.7751
_cell_length_c 4.9162
_cell_angle_alpha 90.00
_cell_angle_beta 90.00
_cell_angle_gamma 90.00
_symmetry_space_group_name_H-M 'P 1'
_symmetry_Int_Tables_number 1
_symmetry_space_group_name_Hall 'P 1'
loop_
_atom_site_label
_atom_site_type_symbol
_atom_site_fract_x
_atom_site_fract_y
_atom_site_fract_z
O1 O 0.5000 0.5000 0.5000
As1 As 0.0000 0.0000 0.5000
Zn1 Zn 0.0000 0.0000 0.0000
Se1 Se 0.0000 0.5000 0.0000
Se2 Se 0.5000 0.0000 0.0000

---

5.
# ZnAs2SeO, relaxed, DFT PBE
# D(E_F), states/eV per cell: 3.95
# E above lowest polymorph, meV/atom: 0
data_ZnAs2SeO
_cell_length_a 4.2555
_cell_length_b 4.2555
_cell_length_c 4.9520
_cell_angle_alpha 90.00
_cell_angle_beta 90.00
_cell_angle_gamma 90.00
_symmetry_space_group_name_H-M 'P 1'
_symmetry_Int_Tables_number 1
_symmetry_space_group_name_Hall 'P 1'
loop_
_atom_site_label
_atom_site_type_symbol
_atom_site_fract_x
_atom_site_fract_y
_atom_site_fract_z
O1 O 0.0000 0.0000 0.0000
As1 As 0.0000 0.5000 0.0000
As2 As 0.5000 0.0000 0.0000
Zn1 Zn 0.5000 0.5000 0.5000
Se1 Se 0.0000 0.0000 0.5000

---

6.
# ZnAsSe2O, relaxed, DFT PBE
# D(E_F), states/eV per cell: 3.77
# E above lowest polymorph, meV/atom: 0
data_ZnAsSe2O
_cell_length_a 4.4674
_cell_length_b 4.4674
_cell_length_c 4.5189
_cell_angle_alpha 90.00
_cell_angle_beta 90.00
_cell_angle_gamma 90.00
_symmetry_space_group_name_H-M 'P 1'
_symmetry_Int_Tables_number 1
_symmetry_space_group_name_Hall 'P 1'
loop_
_atom_site_label
_atom_site_type_symbol
_atom_site_fract_x
_atom_site_fract_y
_atom_site_fract_z
O1 O 0.0000 0.0000 0.0000
As1 As 0.0000 0.0000 0.5000
Zn1 Zn 0.5000 0.5000 0.5000
Se1 Se 0.0000 0.5000 0.0000
Se2 Se 0.5000 0.0000 0.0000

---

7.
# ZnAs2SeO, relaxed, DFT PBE
# D(E_F), states/eV per cell: 8.83
# E above lowest polymorph, meV/atom: 759
data_ZnAs2SeO
_cell_length_a 4.8425
_cell_length_b 4.6960
_cell_length_c 4.8425
_cell_angle_alpha 90.00
_cell_angle_beta 90.00
_cell_angle_gamma 90.00
_symmetry_space_group_name_H-M 'P 1'
_symmetry_Int_Tables_number 1
_symmetry_space_group_name_Hall 'P 1'
loop_
_atom_site_label
_atom_site_type_symbol
_atom_site_fract_x
_atom_site_fract_y
_atom_site_fract_z
O1 O 0.5000 0.5000 0.5000
As1 As 0.0000 0.0000 0.5000
As2 As 0.5000 0.0000 0.0000
Zn1 Zn 0.0000 0.0000 0.0000
Se1 Se 0.0000 0.5000 0.0000

---

8.
# ZrAsSe2O, relaxed, DFT PBE
# D(E_F), states/eV per cell: 7.79
# E above lowest polymorph, meV/atom: 587
data_ZrAsSe2O
_cell_length_a 5.1266
_cell_length_b 5.1266
_cell_length_c 5.3485
_cell_angle_alpha 90.00
_cell_angle_beta 90.00
_cell_angle_gamma 90.00
_symmetry_space_group_name_H-M 'P 1'
_symmetry_Int_Tables_number 1
_symmetry_space_group_name_Hall 'P 1'
loop_
_atom_site_label
_atom_site_type_symbol
_atom_site_fract_x
_atom_site_fract_y
_atom_site_fract_z
O1 O 0.5000 0.5000 0.5000
As1 As 0.0000 0.0000 0.5000
Se1 Se 0.0000 0.5000 0.0000
Se2 Se 0.5000 0.0000 0.0000
Zr1 Zr 0.0000 0.0000 0.0000

---

Number 1: ΔE_f (raw) 55.1 kJ/mol of atoms. Number 2: ΔE_f (raw) -52.0 kJ/mol of atoms. Number 3: ΔE_f (raw) 80.8 kJ/mol of atoms. Number 4: ΔE_f (raw) 104.6 kJ/mol of atoms. Number 5: ΔE_f (raw) 35.4 kJ/mol of atoms. Number 6: ΔE_f (raw) 42.6 kJ/mol of atoms. Number 7: ΔE_f (raw) 108.6 kJ/mol of atoms. Number 8: ΔE_f (raw) 42.4 kJ/mol of atoms.